## CoCBr2 (PBE)

Data for a relaxed structure of CoCBr2.

Lattice parameters (Å, degrees): 6.2057 6.2057 6.2632 60.30 60.30 90.00
Last column: nearest neighbours and their distance in Å.
Sites, in units of the cell vectors:
Co  0.7500  0.2500  0.5000  4 Br 2.39
Co  0.0000  0.0000  0.0000  4 Br 2.39
Br  0.8750  0.8948  0.7500  2 Co 2.39, 2 C 2.54
Br  0.1052  0.6250  0.2500  2 Co 2.39, 2 C 2.54
Br  0.3750  0.3552  0.7500  2 Co 2.39, 2 C 2.54
Br  0.6448  0.1250  0.2500  2 Co 2.39, 2 C 2.54
C  0.2500  0.7500  0.5000  4 Br 2.54
C  0.5000  0.5000  0.0000  4 Br 2.54

Energy above the most stable polymorph in this dataset: 0.000 kcal/mol of atoms
Formation energy from raw total energies: 589 kJ/mol of formula units
Volume: 21.51 Å³/atom
N(E_F): 8.452 states/eV per cell
Total DFT energy (no corrections): -3.39 eV per atom